{"formula": "SrOs2O7F2", "functional": "PBE-GGA", "state": "optimized geometry", "lattice_angstrom": [[-1.9463, 1.9463, 9.5455], [1.9463, -1.9463, 9.5455], [1.9463, 1.9463, -9.5455]], "species": ["Sr", "Os", "Os", "O", "O", "O", "O", "O", "O", "O", "F", "F"], "frac_coords": [[0.0000, 0.0000, 0.0000], [0.3885, 0.3885, 0.0000], [0.6115, 0.6115, 0.0000], [0.0987, 0.5987, 0.5000], [0.2988, 0.2988, 0.0000], [0.4013, 0.9013, 0.5000], [0.5000, 0.5000, 0.0000], [0.5987, 0.0987, 0.5000], [0.7012, 0.7012, 0.0000], [0.9013, 0.4013, 0.5000], [0.2500, 0.7500, 0.5000], [0.7500, 0.2500, 0.5000]], "raw_formation_energy_ev_per_atom": -1.07, "sg": "No. 139", "magnetic_moment_mub_per_cell": 0.0}


{"formula": "Sr2OsO4F", "functional": "PBE-GGA", "state": "optimized geometry", "lattice_angstrom": [[5.0364, -1.6878, 0.0000], [5.0364, 1.6878, 0.0000], [-2.8461, 0.0000, 6.4866]], "species": ["Sr", "Sr", "Os", "O", "O", "O", "O", "F"], "frac_coords": [[0.1762, 0.1762, 0.2083], [0.8238, 0.8238, 0.7917], [0.0000, 0.0000, 0.5000], [0.1367, 0.1367, 0.7770], [0.3974, 0.3974, 0.5533], [0.6026, 0.6026, 0.4467], [0.8633, 0.8633, 0.2230], [0.5000, 0.5000, 0.0000]], "raw_formation_energy_ev_per_atom": -2.22, "sg": "No. 12", "magnetic_moment_mub_per_cell": 1.0}